1.
## ReAsAu3 (PBE-GGA)

Data for an optimized crystal structure of ReAsAu3.

Cell lengths 4.8693, 4.8693, 4.8693 Å; angles 90.00, 90.00, 90.00 degrees
With the nearest neighbours (Å) after each atom.
Fractional positions:
Re 0.0000 0.0000 0.0000  12 Au 3.44
As 0.5000 0.5000 0.5000  6 Au 2.43
Au 0.0000 0.5000 0.5000  2 As 2.43
Au 0.5000 0.0000 0.5000  2 As 2.43
Au 0.5000 0.5000 0.0000  2 As 2.43

Calculated values
Electronic total energy: -4.0150 eV/atom
Polymorph energy (0 for the lowest one): 0.0000 eV/atom
Formation energy from the elements: 1.37 eV/atom


2.
## Re2AsAu (PBE-GGA)

Data for an optimized crystal structure of Re2AsAu.

Cell lengths 5.4055, 5.4055, 5.4055 Å; angles 147.41, 131.02, 60.08 degrees
With the nearest neighbours (Å) after each atom.
Fractional positions:
Re 0.0000 0.0000 0.0000  2 As 2.53, 4 Au 2.72, 2 Re 2.75
Re 0.7546 0.2546 0.5000  4 As 2.73, 4 Re 2.75-3.03, 2 Au 3.01
As 0.2160 0.7160 0.5000  6 Re 2.53-2.73, 2 Au 2.81
Au 0.4690 0.4690 0.0000  6 Re 2.72-3.01, 2 As 2.81, 2 Au 3.03

Calculated values
Electronic total energy: -7.6085 eV/atom
Formation energy from the elements: 0.60 eV/atom